# 1
Compound: Ta2CrFe
Source: Alexandria via LeMat-Bulk
Functional: PBEsol
Structure: relaxed

a b c (Å): 3.1567 4.0127 4.5059
angles (deg): 90.00 90.00 90.00
Closest atoms and distances in Å follow each position.
Positions (direct):
Ta 0.5000 0.0000 0.5000  4 Fe 2.55, 4 Ta 2.75
Ta 0.0000 0.0000 0.0000  4 Cr 2.55, 4 Ta 2.75
Fe 0.0000 0.5000 0.5000  4 Ta 2.55, 4 Cr 2.75
Cr 0.5000 0.5000 0.0000  4 Ta 2.55, 4 Fe 2.75

ΔE_f: 119 meV/atom
space-group type: Pmmm (47)
E_tot: -43.8 eV for the cell shown
relative energy among the computed polymorphs: 259 meV per atom
mass density: 13.67 g cm⁻³

=====

# 2
Compound: Ta2CrFe
Source: Alexandria via LeMat-Bulk
Functional: PBEsol
Structure: relaxed

a b c (Å): 2.7771 2.7771 7.4504
angles (deg): 90.00 90.00 97.84
Closest atoms and distances in Å follow each position.
Positions (direct):
Ta 0.0000 0.0000 0.0326  4 Fe 2.65-2.84, 6 Ta 2.78-2.95
Ta 0.5000 0.5000 0.7215  4 Cr 2.70-2.89, 6 Ta 2.78-2.95
Cr 0.0000 0.0000 0.4550  4 Fe 2.20-2.42
Fe 0.5000 0.5000 0.2910  4 Cr 2.20-2.42

ΔE_f: 84 meV/atom
space-group type: Cmm2 (35)
E_tot: -44.0 eV for the cell shown
relative energy among the computed polymorphs: 224 meV per atom
mass density: 13.70 g cm⁻³

=====

# 3
Compound: Ta2CrFe
Source: Alexandria via LeMat-Bulk
Functional: PBEsol
Structure: relaxed

a b c (Å): 2.7134 4.9085 4.9085
angles (deg): 111.72 101.11 101.11
Closest atoms and distances in Å follow each position.
Positions (direct):
Fe 0.5000 0.5000 0.5000  4 Ta 2.57, 2 Fe 2.71, 2 Cr 2.75
Cr 0.5000 0.0000 0.0000  4 Ta 2.57, 2 Cr 2.71, 2 Fe 2.75
Ta 0.0000 0.5000 0.0000  2 Fe 2.57, 2 Cr 2.57, 4 Ta 2.71-2.75
Ta 0.0000 0.0000 0.5000  2 Cr 2.57, 2 Fe 2.57, 4 Ta 2.71-2.75

ΔE_f: 114 meV/atom
space-group type: C2/m (12)
E_tot: -43.9 eV for the cell shown
relative energy among the computed polymorphs: 254 meV per atom
mass density: 13.67 g cm⁻³

=====

# 4
Compound: Ta2CrFe
Source: Alexandria via LeMat-Bulk
Functional: PBEsol
Structure: relaxed

a b c (Å): 4.2885 4.2885 4.2885
angles (deg): 60.00 60.00 60.00
Closest atoms and distances in Å follow each position.
Positions (direct):
Cr 0.0000 0.0000 0.0000  8 Ta 2.63
Ta 0.7500 0.7500 0.7500  4 Cr 2.63, 4 Fe 2.63
Ta 0.2500 0.2500 0.2500  4 Cr 2.63, 4 Fe 2.63
Fe 0.5000 0.5000 0.5000  8 Ta 2.63

ΔE_f: -140 meV/atom
space-group type: Fm-3m (225)
E_tot: -44.9 eV for the cell shown
relative energy among the computed polymorphs: 0 meV per atom
mass density: 13.99 g cm⁻³

=====

# 5
Compound: Ta2CrFe
Source: Alexandria via LeMat-Bulk
Functional: PBEsol
Structure: relaxed

a b c (Å): 4.3046 4.3046 4.3046
angles (deg): 60.00 60.00 60.00
Closest atoms and distances in Å follow each position.
Positions (direct):
Ta 0.0000 0.0000 0.0000  4 Ta 2.64, 4 Fe 2.64
Ta 0.7500 0.7500 0.7500  4 Cr 2.64, 4 Ta 2.64
Fe 0.2500 0.2500 0.2500  4 Cr 2.64, 4 Ta 2.64
Cr 0.5000 0.5000 0.5000  4 Ta 2.64, 4 Fe 2.64

ΔE_f: 156 meV/atom
space-group type: F-43m (216)
E_tot: -43.7 eV for the cell shown
relative energy among the computed polymorphs: 296 meV per atom
mass density: 13.83 g cm⁻³

=====

# 6
Compound: CrFeTc2
Source: Alexandria via LeMat-Bulk
Functional: PBEsol
Structure: relaxed

a b c (Å): 2.6292 2.6292 8.5505
angles (deg): 81.16 81.16 60.00
Closest atoms and distances in Å follow each position.
Positions (direct):
Tc 0.7495 0.7495 0.7514  3 Fe 2.58, 3 Cr 2.60, 6 Tc 2.63
Tc 0.2505 0.2505 0.2486  3 Fe 2.58, 3 Cr 2.60, 6 Tc 2.63
Fe 0.0000 0.0000 0.0000  6 Tc 2.58, 6 Fe 2.63
Cr 0.5000 0.5000 0.5000  6 Tc 2.60, 6 Cr 2.63

ΔE_f: 210 meV/atom
space-group type: R-3m (166)
E_tot: -40.9 eV for the cell shown
mass density: 10.02 g cm⁻³

=====

# 7
Compound: CrFeTc
Source: Alexandria via LeMat-Bulk
Functional: PBEsol
Structure: relaxed

a b c (Å): 2.4903 4.1087 4.1087
angles (deg): 120.00 90.00 90.00
Closest atoms and distances in Å follow each position.
Positions (direct):
Cr 0.0038 0.0000 0.0000  2 Cr 2.49, 3 Tc 2.49, 3 Fe 2.50
Fe 0.6848 0.3333 0.6667  2 Fe 2.49, 3 Cr 2.50, 3 Tc 2.55
Tc 0.3114 0.6667 0.3333  2 Tc 2.49, 3 Cr 2.49, 3 Fe 2.55

ΔE_f: 117 meV/atom
space-group type: P3m1 (156)
E_tot: -30.1 eV for the cell shown
mass density: 9.39 g cm⁻³

=====

# 8
Compound: CrFeTc2
Source: Alexandria via LeMat-Bulk
Functional: PBEsol
Structure: relaxed

a b c (Å): 3.6808 3.6808 4.5070
angles (deg): 114.10 114.10 90.00
Closest atoms and distances in Å follow each position.
Positions (direct):
Tc 0.0000 0.0000 0.0000  4 Fe 2.60, 4 Tc 2.60, 4 Cr 2.60
Tc 0.7500 0.2500 0.5000  4 Cr 2.60, 4 Tc 2.60, 4 Fe 2.60
Cr 0.5000 0.5000 0.0000  4 Fe 2.60, 8 Tc 2.60
Fe 0.2500 0.7500 0.5000  4 Cr 2.60, 8 Tc 2.60

ΔE_f: 121 meV/atom
space-group type: I-4m2 (119)
E_tot: -41.3 eV for the cell shown
mass density: 10.12 g cm⁻³